AcHg: optimized geometry, GGA-PBE.

Computed properties:
uncorrected energy: -2.014 eV/atom
space group: F-43m
M_tot: 0.133 Bohr magnetons per cell

a = 5.1274 Å, b = 5.1274 Å, c = 5.1274 Å
α = 60.00°, β = 60.00°, γ = 60.00°
Atoms (fractional coordinates):
Ac 0.0000 0.0000 0.0000
Hg 0.7500 0.7500 0.7500


AcHg2: optimized geometry, GGA-PBE.

Computed properties:
uncorrected energy: -2.040 eV/atom
space group: P6/mmm
M_tot: 0.007 Bohr magnetons per cell

a = 5.1217 Å, b = 5.1217 Å, c = 3.8447 Å
α = 90.00°, β = 90.00°, γ = 120.00°
Atoms (fractional coordinates):
Ac 0.0000 0.0000 0.0000
Hg 0.3333 0.6667 0.5000
Hg 0.6667 0.3333 0.5000


AcHg: optimized geometry, GGA-PBE.

Computed properties:
uncorrected energy: -2.459 eV/atom
space group: P-6m2
M_tot: 0.009 Bohr magnetons per cell

a = 3.7757 Å, b = 3.7757 Å, c = 5.2513 Å
α = 90.00°, β = 90.00°, γ = 120.00°
Atoms (fractional coordinates):
Ac 0.0000 0.0000 0.0000
Hg 0.6667 0.3333 0.5000


Ac2Hg: optimized geometry, GGA-PBE.

Computed properties:
uncorrected energy: -1.768 eV/atom
space group: Fd-3m
M_tot: 0.532 Bohr magnetons per cell

a = 9.9383 Å, b = 9.9383 Å, c = 9.9383 Å
α = 60.00°, β = 60.00°, γ = 60.00°
Atoms (fractional coordinates):
Ac 0.0000 0.0000 0.0000
Ac 0.0000 0.0000 0.5000
Ac 0.0000 0.5000 0.0000
Ac 0.5000 0.0000 0.0000
Hg 0.1250 0.1250 0.1250
Hg 0.8750 0.8750 0.8750


AcHg8: optimized geometry, GGA-PBE.

Computed properties:
uncorrected energy: -0.920 eV/atom
space group: I4/mmm
M_tot: 0.010 Bohr magnetons per cell

a = 7.5471 Å, b = 7.5471 Å, c = 7.5471 Å
α = 95.43°, β = 95.43°, γ = 144.16°
Atoms (fractional coordinates):
Ac 0.0000 0.0000 0.0000
Hg 0.0000 0.3389 0.3389
Hg 0.0000 0.6611 0.6611
Hg 0.3268 0.3268 0.6537
Hg 0.3268 0.6732 0.0000
Hg 0.3389 0.0000 0.3389
Hg 0.6611 0.0000 0.6611
Hg 0.6732 0.3268 0.0000
Hg 0.6732 0.6732 0.3463


AcInHg: optimized geometry, GGA-PBE.

Computed properties:
uncorrected energy: -2.863 eV/atom
energy above the most stable polymorph in this dataset: 0 meV/atom
space group: C2/m
M_tot: 0.067 Bohr magnetons per cell

a = 6.4078 Å, b = 6.4078 Å, c = 8.1074 Å
α = 128.12°, β = 128.12°, γ = 46.76°
Atoms (fractional coordinates):
Ac 0.0348 0.0348 0.2907
Ac 0.9652 0.9652 0.7093
In 0.3375 0.3375 0.8858
In 0.6625 0.6625 0.1142
Hg 0.3341 0.3341 0.2821
Hg 0.6659 0.6659 0.7179


AcInHg: optimized geometry, GGA-PBE.

Computed properties:
uncorrected energy: -2.822 eV/atom
energy above the most stable polymorph in this dataset: 40 meV/atom
space group: F-43m
M_tot: 0.000 Bohr magnetons per cell

a = 5.2064 Å, b = 5.2064 Å, c = 5.2064 Å
α = 60.00°, β = 60.00°, γ = 60.00°
Atoms (fractional coordinates):
Ac 0.0000 0.0000 0.0000
In 0.5000 0.5000 0.5000
Hg 0.2500 0.2500 0.2500


AcInHg: optimized geometry, GGA-PBE.

Computed properties:
uncorrected energy: -2.434 eV/atom
energy above the most stable polymorph in this dataset: 429 meV/atom
space group: F-43m
M_tot: 0.005 Bohr magnetons per cell

a = 5.4070 Å, b = 5.4070 Å, c = 5.4070 Å
α = 60.00°, β = 60.00°, γ = 60.00°
Atoms (fractional coordinates):
Ac 0.0000 0.0000 0.0000
In 0.2500 0.2500 0.2500
Hg 0.7500 0.7500 0.7500


Ac3In2Hg4: optimized geometry, GGA-PBE.

Computed properties:
uncorrected energy: -2.590 eV/atom
space group: C2/m
M_tot: 0.044 Bohr magnetons per cell

a = 6.4782 Å, b = 6.4782 Å, c = 9.7661 Å
α = 112.56°, β = 112.56°, γ = 46.51°
Atoms (fractional coordinates):
Ac 0.0000 0.0000 0.0000
Ac 0.3373 0.3373 0.3275
Ac 0.6627 0.6627 0.6725
In 0.3840 0.3840 0.7182
In 0.6160 0.6160 0.2818
Hg 0.0833 0.0833 0.4167
Hg 0.3017 0.3017 0.9684
Hg 0.6983 0.6983 0.0316
Hg 0.9167 0.9167 0.5833


Ac4Hg5Ir2: optimized geometry, GGA-PBE.

Computed properties:
uncorrected energy: -3.751 eV/atom
space group: P2/m
M_tot: 0.013 Bohr magnetons per cell

a = 8.0220 Å, b = 4.0545 Å, c = 9.9431 Å
α = 90.00°, β = 94.33°, γ = 90.00°
Atoms (fractional coordinates):
Ac 0.1860 0.0000 0.3463
Ac 0.2203 0.0000 0.9358
Ac 0.7797 0.0000 0.0642
Ac 0.8140 0.0000 0.6537
Hg 0.1665 0.5000 0.6421
Hg 0.4529 0.5000 0.1703
Hg 0.5000 0.5000 0.5000
Hg 0.5471 0.5000 0.8297
Hg 0.8335 0.5000 0.3579
Ir 0.0755 0.5000 0.1397
Ir 0.9245 0.5000 0.8603


KAcHg: optimized geometry, GGA-PBE.

Computed properties:
uncorrected energy: -1.442 eV/atom
energy above the most stable polymorph in this dataset: 0 meV/atom
space group: F-43m
M_tot: 0.547 Bohr magnetons per cell

a = 5.6362 Å, b = 5.6362 Å, c = 5.6362 Å
α = 60.00°, β = 60.00°, γ = 60.00°
Atoms (fractional coordinates):
K 0.0000 0.0000 0.0000
Ac 0.7500 0.7500 0.7500
Hg 0.5000 0.5000 0.5000


LiAcHg: optimized geometry, GGA-PBE.

Computed properties:
uncorrected energy: -1.925 eV/atom
energy above the most stable polymorph in this dataset: 333 meV/atom
space group: F-43m
M_tot: 0.002 Bohr magnetons per cell

a = 5.2901 Å, b = 5.2901 Å, c = 5.2901 Å
α = 60.00°, β = 60.00°, γ = 60.00°
Atoms (fractional coordinates):
Li 0.0000 0.0000 0.0000
Ac 0.7500 0.7500 0.7500
Hg 0.5000 0.5000 0.5000


AcLuHg: optimized geometry, GGA-PBE.

Computed properties:
uncorrected energy: -3.036 eV/atom
energy above the most stable polymorph in this dataset: 0 meV/atom
space group: F-43m
M_tot: 0.004 Bohr magnetons per cell

a = 5.3069 Å, b = 5.3069 Å, c = 5.3069 Å
α = 60.00°, β = 60.00°, γ = 60.00°
Atoms (fractional coordinates):
Ac 0.0000 0.0000 0.0000
Lu 0.5000 0.5000 0.5000
Hg 0.2500 0.2500 0.2500


Ac2Mg3Hg2: optimized geometry, GGA-PBE.

Computed properties:
uncorrected energy: -2.235 eV/atom
space group: C2/m
M_tot: 0.021 Bohr magnetons per cell

a = 6.2384 Å, b = 6.2384 Å, c = 7.9079 Å
α = 112.15°, β = 112.15°, γ = 45.62°
Atoms (fractional coordinates):
Ac 0.1415 0.1415 0.2777
Ac 0.8585 0.8585 0.7223
Mg 0.3808 0.3808 0.0710
Mg 0.5000 0.5000 0.5000
Mg 0.6192 0.6192 0.9290
Hg 0.1518 0.1518 0.7213
Hg 0.8482 0.8482 0.2787


AcMg5Hg2: optimized geometry, GGA-PBE.

Computed properties:
uncorrected energy: -1.808 eV/atom
space group: Immm
M_tot: 0.009 Bohr magnetons per cell

a = 7.1476 Å, b = 7.1476 Å, c = 7.1476 Å
α = 142.70°, β = 108.77°, γ = 83.26°
Atoms (fractional coordinates):
Ac 0.0000 0.0000 0.0000
Mg 0.1648 0.3485 0.8162
Mg 0.4677 0.6515 0.8162
Mg 0.5000 0.0000 0.5000
Mg 0.5323 0.3485 0.1838
Mg 0.8352 0.6515 0.1838
Hg 0.2388 0.7388 0.5000
Hg 0.7612 0.2612 0.5000


AcHgMo: optimized geometry, GGA-PBE.

Computed properties:
uncorrected energy: -4.236 eV/atom
space group: F-43m
M_tot: 2.743 Bohr magnetons per cell

a = 5.0774 Å, b = 5.0774 Å, c = 5.0774 Å
α = 60.00°, β = 60.00°, γ = 60.00°
Atoms (fractional coordinates):
Ac 0.0000 0.0000 0.0000
Hg 0.2500 0.2500 0.2500
Mo 0.5000 0.5000 0.5000


NaAcSnHg: optimized geometry, GGA-PBE.

Computed properties:
uncorrected energy: -2.918 eV/atom
space group: F-43m
M_tot: 0.001 Bohr magnetons per cell

a = 5.5721 Å, b = 5.5721 Å, c = 5.5721 Å
α = 60.00°, β = 60.00°, γ = 60.00°
Atoms (fractional coordinates):
Na 0.0000 0.0000 0.0000
Ac 0.5000 0.5000 0.5000
Sn 0.2500 0.2500 0.2500
Hg 0.7500 0.7500 0.7500


AcNdHg: optimized geometry, GGA-PBE.

Computed properties:
uncorrected energy: -3.155 eV/atom
energy above the most stable polymorph in this dataset: 0 meV/atom
space group: F-43m
M_tot: 0.238 Bohr magnetons per cell

a = 5.4082 Å, b = 5.4082 Å, c = 5.4082 Å
α = 60.00°, β = 60.00°, γ = 60.00°
Atoms (fractional coordinates):
Ac 0.0000 0.0000 0.0000
Nd 0.5000 0.5000 0.5000
Hg 0.2500 0.2500 0.2500


AcNpHg: optimized geometry, GGA-PBE.

Computed properties:
uncorrected energy: -4.893 eV/atom
energy above the most stable polymorph in this dataset: 369 meV/atom
space group: F-43m
M_tot: 4.735 Bohr magnetons per cell

a = 5.2803 Å, b = 5.2803 Å, c = 5.2803 Å
α = 60.00°, β = 60.00°, γ = 60.00°
Atoms (fractional coordinates):
Ac 0.0000 0.0000 0.0000
Np 0.2500 0.2500 0.2500
Hg 0.7500 0.7500 0.7500


AcNpHg: optimized geometry, GGA-PBE.

Computed properties:
uncorrected energy: -5.263 eV/atom
energy above the most stable polymorph in this dataset: 0 meV/atom
space group: F-43m
M_tot: 5.051 Bohr magnetons per cell

a = 5.3970 Å, b = 5.3970 Å, c = 5.3970 Å
α = 60.00°, β = 60.00°, γ = 60.00°
Atoms (fractional coordinates):
Ac 0.0000 0.0000 0.0000
Np 0.5000 0.5000 0.5000
Hg 0.2500 0.2500 0.2500